Entry 1:
This record from the Alexandria database describes a geometry-optimized Hg5Os structure. The functional is PBE-GGA.

Lattice parameters (Å, degrees): 10.6382 10.6382 4.7364 90.00 90.00 164.02
Sites, in units of the cell vectors:
Hg1 0.0000 0.0000 0.0000
Hg2 0.1148 0.8852 0.5000
Hg3 0.3138 0.6862 0.0000
Hg4 0.6862 0.3138 0.0000
Hg5 0.8852 0.1148 0.5000
Os1 0.5000 0.5000 0.5000

## Properties
- Excess energy over the best structure of this formula in the dataset: 0.0596 eV/atom
- M_tot: 0.00 μB per formula unit

Entry 2:
This record from the Alexandria database describes a geometry-optimized Hg3Os structure. The functional is PBE-GGA.

Lattice parameters (Å, degrees): 4.6288 5.9152 5.8545 90.00 90.00 90.00
Sites, in units of the cell vectors:
Hg1 0.2500 0.0024 0.1509
Hg2 0.2500 0.4976 0.1509
Hg3 0.2500 0.7500 0.6066
Hg4 0.7500 0.2500 0.3934
Hg5 0.7500 0.5024 0.8491
Hg6 0.7500 0.9976 0.8491
Os1 0.2500 0.2500 0.6926
Os2 0.7500 0.7500 0.3074

## Properties
- Excess energy over the best structure of this formula in the dataset: 0.2260 eV/atom
- M_tot: 0.00 μB per formula unit

Entry 3:
This record from the Alexandria database describes a geometry-optimized Hg3Os structure. The functional is PBE-GGA.

Lattice parameters (Å, degrees): 4.2507 4.2507 4.2507 90.00 90.00 90.00
Sites, in units of the cell vectors:
Hg1 0.0000 0.0000 0.5000
Hg2 0.0000 0.5000 0.0000
Hg3 0.5000 0.0000 0.0000
Os1 0.5000 0.5000 0.5000

## Properties
- Excess energy over the best structure of this formula in the dataset: 0.1878 eV/atom
- M_tot: 0.00 μB per formula unit

Entry 4:
This record from the Alexandria database describes a geometry-optimized Hg4Os5 structure. The functional is PBE-GGA.

Lattice parameters (Å, degrees): 8.0746 8.0746 5.4973 90.00 90.00 120.00
Sites, in units of the cell vectors:
Hg1 0.0000 0.0000 0.0000
Hg2 0.0000 0.0000 0.5000
Hg3 0.0000 0.3357 0.2500
Hg4 0.0000 0.6643 0.7500
Hg5 0.3357 0.0000 0.2500
Hg6 0.3357 0.3357 0.7500
Hg7 0.6643 0.0000 0.7500
Hg8 0.6643 0.6643 0.2500
Os1 0.0000 0.3382 0.7500
Os2 0.0000 0.6618 0.2500
Os3 0.3333 0.6667 0.0000
Os4 0.3333 0.6667 0.5000
Os5 0.3382 0.0000 0.7500
Os6 0.3382 0.3382 0.2500
Os7 0.6618 0.0000 0.2500
Os8 0.6618 0.6618 0.7500
Os9 0.6667 0.3333 0.0000
Os10 0.6667 0.3333 0.5000

## Properties
- Excess energy over the best structure of this formula in the dataset: 0.4069 eV/atom
- M_tot: 2.27 μB per formula unit

Entry 5:
This record from the Alexandria database describes a geometry-optimized HgOs structure. The functional is PBE-GGA.

Lattice parameters (Å, degrees): 2.8791 2.8791 10.3677 90.00 90.00 121.07
Sites, in units of the cell vectors:
Hg1 0.2500 0.7500 0.8550
Hg2 0.7500 0.2500 0.1450
Os1 0.2500 0.7500 0.3984
Os2 0.7500 0.2500 0.6016

## Properties
- Excess energy over the best structure of this formula in the dataset: 0.3592 eV/atom
- M_tot: 0.22 μB per formula unit

Entry 6:
This record from the Alexandria database describes a geometry-optimized HgOs5 structure. The functional is PBE-GGA.

Lattice parameters (Å, degrees): 5.1697 5.1697 5.1697 60.00 60.00 60.00
Sites, in units of the cell vectors:
Hg1 0.0000 0.0000 0.0000
Os1 0.3754 0.3754 0.3754
Os2 0.3754 0.3754 0.8739
Os3 0.3754 0.8739 0.3754
Os4 0.7500 0.7500 0.7500
Os5 0.8739 0.3754 0.3754

## Properties
- Excess energy over the best structure of this formula in the dataset: 0.8170 eV/atom
- M_tot: 0.00 μB per formula unit

Number 1: ΔH_f (0 K) 0.450 eV per atom. Number 2: ΔH_f (0 K) 0.827 eV per atom. Number 3: ΔH_f (0 K) 0.789 eV per atom. Number 4: ΔH_f (0 K) 1.313 eV per atom. Number 5: ΔH_f (0 K) 0.760 eV per atom. Number 6: ΔH_f (0 K) 1.111 eV per atom.